[1]
CdC2Cl: optimized geometry, GGA-PBEsol.

Computed properties:
crystal system	cubic
N(E_F)	2.99	states/eV/f.u.
formation energy without anion corrections	2.75	eV per atom

abc: 4.201 4.201 4.201
angles: 60.00 60.00 60.00
Sites, in units of the cell vectors:
1 C 0.750 0.750 0.750
2 C 0.250 0.250 0.250
3 Cd 0.500 0.500 0.500
4 Cl 0.000 0.000 0.000

=====

[2]
HgAu: optimized geometry, GGA-PBEsol.

Computed properties:
crystal system	hexagonal
energy	-8.9	eV/cell
N(E_F)	0.49	states/eV/f.u.

abc: 4.339 4.339 5.419
angles: 90.00 90.00 120.00
Sites, in units of the cell vectors:
1 Hg 0.333 0.667 0.250
2 Hg 0.667 0.333 0.750
3 Au 0.000 0.000 0.500
4 Au 0.000 0.000 0.000

=====

[3]
Tl3Zn: optimized geometry, GGA-PBEsol.

Computed properties:
crystal system	orthorhombic
energy	-9.0	eV/cell
N(E_F)	1.96	states/eV/f.u.

abc: 3.463 5.359 6.281
angles: 115.25 106.00 90.00
Sites, in units of the cell vectors:
1 Tl 0.780 0.780 0.561
2 Tl 0.220 0.220 0.439
3 Tl 0.000 0.500 0.000
4 Zn 0.500 0.000 0.000

=====

[4]
TbSi2RuRh: optimized geometry, GGA-PBEsol.

Computed properties:
crystal system	tetragonal
N(E_F)	1.67	states/eV/f.u.
formation energy without anion corrections	-1.07	eV per atom

abc: 4.078 4.078 5.635
angles: 111.21 111.21 90.00
Sites, in units of the cell vectors:
1 Si 0.373 0.373 0.746
2 Si 0.627 0.627 0.254
3 Rh 0.750 0.250 0.500
4 Ru 0.250 0.750 0.500
5 Tb 0.000 0.000 0.000

=====

[5]
SbTe2OsN: optimized geometry, GGA-PBEsol.

Computed properties:
crystal system	tetragonal
N(E_F)	2.43	states/eV/f.u.
formation energy without anion corrections	1.09	eV per atom

abc: 4.576 4.501 4.501
angles: 90.00 90.00 90.00
Sites, in units of the cell vectors:
1 Sb 0.500 0.000 0.000
2 N 0.000 0.000 0.000
3 Te 0.000 0.500 0.000
4 Te 0.000 0.000 0.500
5 Os 0.500 0.500 0.500

=====

[6]
CrNi5: optimized geometry, GGA-PBEsol.

Computed properties:
crystal system	hexagonal
energy	-41.0	eV/cell
N(E_F)	9.52	states/eV/f.u.

abc: 3.981 4.250 4.250
angles: 120.00 90.00 90.00
Sites, in units of the cell vectors:
1 Ni 0.000 0.333 0.333
2 Ni 0.000 0.667 0.000
3 Ni 0.000 0.000 0.667
4 Ni 0.500 0.333 0.667
5 Ni 0.500 0.667 0.333
6 Cr 0.500 0.000 0.000